This record from the Alexandria database describes a relaxed K2MnSiO4 crystal. The functional is PBE with a Hubbard U.

VASP energy = -6.335 eV per atom

a b c (Å): 5.1828 6.3471 10.5637
angles (deg): 84.25 75.80 65.90
Closest atoms and distances in Å follow each position.
Positions (direct):
O 0.4883 0.3315 0.5863  1 Si 1.67
O 0.9254 0.6685 0.5863  1 Si 1.67
O 0.4060 0.6685 0.4137  1 Si 1.67
O 0.2617 0.1685 0.9137  1 Si 1.67
O 0.8246 0.8315 0.9137  1 Si 1.67
O 0.5698 0.1685 0.0863  1 Si 1.67
O 0.1802 0.3315 0.4137  1 Si 1.67
O 0.3440 0.8315 0.0863  1 Si 1.67
K 0.9292 0.5000 0.1415  6 O 3.03-3.34
K 0.5708 0.5000 0.8585  6 O 3.03-3.34
K 0.8208 0.0000 0.3585  6 O 3.03-3.34
K 0.1792 0.0000 0.6415  6 O 3.03-3.34
Mn 0.0000 0.0000 0.0000  4 O 2.05
Mn 0.7500 0.5000 0.5000  4 O 2.05
Si 0.2500 0.5000 0.5000  4 O 1.67
Si 0.5000 0.0000 0.0000  4 O 1.67